Entry 1:
This record from Alexandria describes crystalline YCl at its relaxed geometry. The functional is PBE-GGA.

Lattice parameters (Å, degrees): 3.8883 3.8883 13.6176 90.00 90.00 90.00
Space group I4_1/amd (No. 141, origin choice 2)
Asymmetric unit:
Y 0.0000 0.2500 0.3750 [4 per cell]
Cl 0.0000 0.2500 0.8750 [4 per cell]

## Properties
- uncorrected energy (eV per atom) = -5.15
- formation energy without anion corrections (eV per atom) = -0.9936



Entry 2:
This record from Alexandria describes crystalline Er2Co5Ge3 at its relaxed geometry. The functional is PBE-GGA.

Lattice parameters (Å, degrees): 3.9776 23.4347 6.3193 90.00 90.00 90.00
Space group Cmc2_1 (No. 36)
Asymmetric unit:
Er 0.0000 0.0156 0.0000 [4 per cell]
Er 0.0000 0.3246 0.9919 [4 per cell]
Co 0.0000 0.1048 0.6611 [4 per cell]
Co 0.0000 0.2057 0.7860 [4 per cell]
Co 0.0000 0.2109 0.1776 [4 per cell]
Co 0.0000 0.3697 0.4795 [4 per cell]
Co 0.0000 0.4416 0.8324 [4 per cell]
Ge 0.0000 0.1127 0.2492 [4 per cell]
Ge 0.0000 0.2695 0.4845 [4 per cell]
Ge 0.0000 0.4471 0.2114 [4 per cell]

## Properties
- uncorrected energy (eV per atom) = -6.21
- formation enthalpy at 0 K (eV/atom) = -0.362



Entry 3:
This record from Alexandria describes crystalline Na2AcMgF8 at its relaxed geometry. The functional is PBE-GGA.

Lattice parameters (Å, degrees): 4.4032 5.5363 7.2742 86.53 88.81 86.41
Space group P-1 (No. 2)
Asymmetric unit:
Na 0.0266 0.0258 0.2407 [2 per cell]
Ac 0.5000 0.5000 0.5000 [1 per cell]
Mg 0.5000 0.5000 0.0000 [1 per cell]
F 0.0397 0.2542 0.5040 [2 per cell]
F 0.1060 0.3342 0.9899 [2 per cell]
F 0.4093 0.7354 0.2018 [2 per cell]
F 0.4244 0.7383 0.7798 [2 per cell]

## Properties
- uncorrected energy (eV per atom) = -5.09
- formation energy without anion corrections (eV per atom) = -3.1434



Entry 4:
This record from Alexandria describes crystalline Ba4Cd2Pd at its relaxed geometry. The functional is PBE-GGA.

Lattice parameters (Å, degrees): 17.5819 4.9664 7.2110 90.00 103.14 90.00
Space group C2/m (No. 12)
Asymmetric unit:
Ba 0.0778 0.0000 0.2685 [4 per cell]
Ba 0.1514 0.5000 0.8264 [4 per cell]
Cd 0.2371 0.5000 0.3749 [4 per cell]
Pd 0.0000 0.5000 0.0000 [2 per cell]

## Properties
- uncorrected energy (eV per atom) = -2.42
- offset from the most stable computed form (kJ/mol of atoms) = 0.0
- formation enthalpy at 0 K (eV/atom) = -0.319



Entry 5:
This record from Alexandria describes crystalline Pr2ZnBi4 at its relaxed geometry. The functional is PBE-GGA.

Lattice parameters (Å, degrees): 4.6255 4.6255 10.0147 90.00 90.00 90.00
Space group P-4m2 (No. 115)
Asymmetric unit:
Pr 0.0000 0.5000 0.2406 [2 per cell]
Zn 0.0000 0.0000 0.0000 [1 per cell]
Bi 0.0000 0.0000 0.5000 [1 per cell]
Bi 0.0000 0.5000 0.8406 [2 per cell]
Bi 0.5000 0.5000 0.5000 [1 per cell]

## Properties
- uncorrected energy (eV per atom) = -4.33
- formation enthalpy at 0 K (eV/atom) = -0.565



Entry 6:
This record from Alexandria describes crystalline ZrTi2Si2 at its relaxed geometry. The functional is PBE-GGA.

Lattice parameters (Å, degrees): 6.9634 6.9634 3.3733 90.00 90.00 90.00
Space group P4/mbm (No. 127)
Asymmetric unit:
Zr 0.0000 0.0000 0.0000 [2 per cell]
Ti 0.1721 0.3279 0.5000 [4 per cell]
Si 0.1230 0.6230 0.0000 [4 per cell]

## Properties
- uncorrected energy (eV per atom) = -7.79
- offset from the most stable computed form (kJ/mol of atoms) = 0.0
- formation energy without anion corrections (eV per atom) = -0.7504



Entry 7:
This record from Alexandria describes crystalline SrSbRu2 at its relaxed geometry. The functional is PBE-GGA.

Lattice parameters (Å, degrees): 4.3771 4.3771 17.3027 90.00 90.00 120.00
Space group R3m (No. 160, hexagonal axes)
Asymmetric unit:
Sr 0.0000 0.0000 0.0000 [3 per cell]
Sb 0.0000 0.0000 0.2004 [3 per cell]
Ru 0.0000 0.0000 0.4677 [3 per cell]
Ru 0.0000 0.0000 0.7971 [3 per cell]

## Properties
- uncorrected energy (eV per atom) = -6.22
- formation energy without anion corrections (eV per atom) = -0.1263



Entry 8:
This record from Alexandria describes crystalline Li2RhAu at its relaxed geometry. The functional is PBE-GGA.

Lattice parameters (Å, degrees): 3.3180 4.0345 4.3401 90.00 90.00 90.00
Space group Pmmm (No. 47)
Asymmetric unit:
Li 0.0000 0.0000 0.0000 [1 per cell]
Li 0.5000 0.0000 0.5000 [1 per cell]
Rh 0.0000 0.5000 0.5000 [1 per cell]
Au 0.5000 0.5000 0.0000 [1 per cell]

## Properties
- uncorrected energy (eV per atom) = -3.90
- formation enthalpy at 0 K (eV/atom) = -0.291